DFT (PBE) results for crystalline Nd6DyEr2Th at its relaxed geometry.

```
Nd6DyEr2Th
1.0
9.1963 -2.1439 -2.2249
0.9018 8.6209 -1.9042
0.9018 -2.2224 8.5444
Nd Dy Er Th
12 2 4 2
Direct
0.0582 0.1093 0.7618 Nd
0.4418 0.2382 0.8907 Nd
0.9418 0.8907 0.2382 Nd
0.5582 0.7618 0.1093 Nd
0.3123 0.9914 0.4266 Nd
0.1877 0.5734 0.0086 Nd
0.6877 0.0086 0.5734 Nd
0.8123 0.4266 0.9914 Nd
0.1181 0.7024 0.4855 Nd
0.3819 0.5145 0.2976 Nd
0.8819 0.2976 0.5145 Nd
0.6181 0.4855 0.7024 Nd
0.2500 0.4087 0.5913 Dy
0.7500 0.5913 0.4087 Dy
0.4484 0.7993 0.7086 Er
0.0516 0.2914 0.2007 Er
0.5516 0.2007 0.2914 Er
0.9484 0.7086 0.7993 Er
0.2500 0.9691 0.0309 Th
0.7500 0.0309 0.9691 Th
```

## Properties
Space group   C2/c, No. 15
Volume   34.02 Å³/atom

DFT (PBE) results for crystalline Nd6Dy3Er2Th at its relaxed geometry.

```
Nd6Dy3Er2Th
1.0
-4.2830 -0.0639 -4.5618
3.5593 -5.0455 1.0165
-7.7555 -2.4103 8.7506
Nd Dy Er Th
6 3 2 1
Direct
0.9166 0.5863 0.7509 Nd
0.7534 0.7534 0.2487 Nd
0.0834 0.4137 0.2491 Nd
0.5863 0.9166 0.7509 Nd
0.2466 0.2466 0.7513 Nd
0.4137 0.0834 0.2491 Nd
0.1668 0.8332 0.5000 Dy
0.8332 0.1668 0.5000 Dy
0.5000 0.5000 0.5000 Dy
0.3333 0.6667 0.0000 Er
0.6667 0.3333 0.0000 Er
0.0000 0.0000 0.0000 Th
```

## Properties
Space group   C2/m, No. 12
Volume   33.23 Å³/atom

DFT (PBE) results for crystalline Nd2Dy4ErTh at its relaxed geometry.

```
Nd2Dy4ErTh
1.0
5.9152 0.0000 0.0000
0.0001 5.7300 1.4985
0.0001 3.8541 8.6786
Nd Dy Er Th
2 4 1 1
Direct
0.0000 0.0000 0.0000 Nd
0.5000 0.0000 0.5000 Nd
0.0000 0.7504 0.7495 Dy
0.0000 0.2496 0.2505 Dy
0.5000 0.7501 0.2498 Dy
0.5000 0.2499 0.7502 Dy
0.0000 0.5000 0.5000 Er
0.5000 0.5000 0.0000 Th
```

## Properties
Space group   P4/mmm, No. 123
Volume   32.50 Å³/atom

DFT (PBE) results for crystalline Nd5Dy2ErTh at its relaxed geometry.

```
Nd5Dy2ErTh
1.0
-0.1928 -3.3933 -4.2185
1.1348 -6.7518 8.8575
-10.5461 -0.5549 0.9282
Nd Dy Er Th
10 4 2 2
Direct
0.3741 0.7481 0.0082 Nd
0.7219 0.4439 0.8152 Nd
0.5000 0.0000 0.7582 Nd
0.2780 0.5561 0.7012 Nd
0.0018 0.0036 0.5082 Nd
0.6259 0.2519 0.5082 Nd
0.2781 0.5561 0.3152 Nd
0.5000 0.0000 0.2582 Nd
0.7220 0.4439 0.2012 Nd
0.9982 0.9964 0.0082 Nd
0.8871 0.7743 0.7547 Dy
0.1128 0.2257 0.7618 Dy
0.1129 0.2257 0.2547 Dy
0.8872 0.7743 0.2618 Dy
0.6020 0.2040 0.0082 Er
0.3980 0.7960 0.5082 Er
0.7876 0.5752 0.5082 Th
0.2124 0.4248 0.0082 Th
```

## Properties
Space group   Cmcm, No. 63
Volume   34.66 Å³/atom

DFT (PBE) results for crystalline Nd6Dy3Er2Tl at its relaxed geometry.

```
Nd6Dy3Er2Tl
1.0
-0.5417 6.1889 0.3670
-4.9958 -3.6271 0.7855
4.0231 -1.3562 11.0091
Nd Dy Er Tl
6 3 2 1
Direct
0.9182 0.5895 0.7525 Nd
0.7539 0.7539 0.2490 Nd
0.0818 0.4105 0.2475 Nd
0.5895 0.9182 0.7525 Nd
0.2461 0.2461 0.7510 Nd
0.4105 0.0818 0.2475 Nd
0.1677 0.8323 0.5000 Dy
0.8323 0.1677 0.5000 Dy
0.5000 0.5000 0.5000 Dy
0.3338 0.6662 0.0000 Er
0.6662 0.3338 0.0000 Er
0.0000 0.0000 0.0000 Tl
```

## Properties
Space group   C2/m, No. 12
Volume   32.40 Å³/atom

DFT (PBE) results for crystalline NdDyEr2Tl4 at its relaxed geometry.

```
NdDyEr2Tl4
1.0
-5.1320 1.5616 0.4802
-3.7659 -3.5484 1.4945
-1.5470 1.3975 9.1241
Nd Dy Er Tl
1 1 2 4
Direct
0.0000 0.0000 0.0000 Nd
0.5000 0.5000 0.5000 Dy
0.7505 0.7505 0.7486 Er
0.2495 0.2495 0.2514 Er
0.3766 0.3766 0.8702 Tl
0.8735 0.8735 0.3794 Tl
0.1265 0.1265 0.6206 Tl
0.6234 0.6234 0.1298 Tl
```

## Properties
Space group   R-3m, No. 166
Volume   27.72 Å³/atom

no.,energy relative to the elements (eV per formula unit)
1,1.42
2,0.38
3,1.01
4,1.27
5,-0.07
6,-2.68